Entry 1:
Material: La4SnN
Method: DFT, PBE
State: relaxed

Output
As for the size of the total moment: 0.001 μB per formula unit. The density comes out at 6727 kg/m³. The calculation puts the uncorrected formation energy at -0.683 eV/atom.

The structure in POSCAR format:
```
La4SnN
1.0
6.268 0.000 0.000
-0.013 7.603 0.000
-3.118 -2.327 7.131
La Sn N
8 2 2
Direct
0.008 0.457 0.193
0.186 0.956 0.194
0.243 0.831 0.623
0.379 0.330 0.622
0.621 0.670 0.378
0.757 0.169 0.377
0.814 0.044 0.806
0.992 0.543 0.807
0.383 0.251 0.000
0.617 0.749 0.000
0.000 0.500 0.500
0.500 0.000 0.500
```



Entry 2:
Material: Na4Hg2Au
Method: DFT, PBE
State: relaxed

Output
Its formation energy is -0.239 eV per atom. As for the size of the total moment: 0.000 μB per formula unit. The density comes out at 6061 kg/m³.

The structure in POSCAR format:
```
Na4Hg2Au
1.0
6.345 0.000 0.000
3.143 7.010 0.000
3.143 1.473 8.501
Na Hg Au
8 4 2
Direct
0.000 0.000 0.000
0.011 0.519 0.471
0.045 0.028 0.377
0.448 0.005 0.611
0.499 0.059 0.954
0.512 0.460 0.518
0.563 0.515 0.860
0.966 0.491 0.094
0.003 0.760 0.735
0.363 0.688 0.177
0.506 0.260 0.236
0.648 0.831 0.294
0.122 0.348 0.788
0.889 0.172 0.683
```



Entry 3:
Material: CsPbSeBr2
Method: DFT, PBE
State: relaxed

Output
As for the size of the total moment: 0.454 μB per formula unit. The density comes out at 4814 kg/m³. The calculation puts the uncorrected formation energy at -0.898 eV/atom.

The structure in POSCAR format:
```
CsPbSeBr2
1.0
5.999 0.000 0.000
0.000 5.999 0.000
0.000 0.000 5.548
Cs Pb Se Br
1 1 1 2
Direct
0.000 0.000 0.000
0.500 0.500 0.500
0.500 0.500 0.000
0.000 0.500 0.500
0.500 0.000 0.500
```